[1]
VASP calculation (PBE) on a relaxed structure of LaMnCo2.

## Properties
The magnetization comes out at 0.61 μB per atom. For the volume, the calculation gives 206 Å³ per cell. For the energy of formation, the calculation gives 0.730 eV per atom. Its final energy is -76.17 eV/cell.

The structure in CIF format:
```
data_LaMnCo2
_cell_length_a 2.9686
_cell_length_b 2.9686
_cell_length_c 26.9743
_cell_angle_alpha 90.00
_cell_angle_beta 90.00
_cell_angle_gamma 120.00
_symmetry_space_group_name_H-M 'R 3 m'
_symmetry_Int_Tables_number 160
_symmetry_space_group_name_Hall 'R 3 -2"'
loop_
_atom_site_label
_atom_site_type_symbol
_atom_site_fract_x
_atom_site_fract_y
_atom_site_fract_z
La1 La 0.0000 0.0000 0.0000
Mn1 Mn 0.0000 0.0000 0.2260
Co1 Co 0.0000 0.0000 0.4951
Co2 Co 0.0000 0.0000 0.7621
```

***

[2]
VASP calculation (PBE) on a relaxed structure of AlBrO.

## Properties
The magnetization comes out at 0.00 μB per atom. For the volume, the calculation gives 309 Å³ per cell. Its formation energy (no corrections) is -1.85 eV per atom. Its final energy is -63.67 eV/cell.

The structure in CIF format:
```
data_AlBrO
_cell_length_a 11.0664
_cell_length_b 3.1548
_cell_length_c 9.7924
_cell_angle_alpha 90.00
_cell_angle_beta 115.34
_cell_angle_gamma 90.00
_symmetry_space_group_name_H-M 'C 1 2/m 1'
_symmetry_Int_Tables_number 12
loop_
_symmetry_equiv_pos_as_xyz
'x,y,z'
'-x,-y,-z'
'-x,y,-z'
'x,-y,z'
'x+1/2,y+1/2,z'
'-x+1/2,-y+1/2,-z'
'-x+1/2,y+1/2,-z'
'x+1/2,-y+1/2,z'
loop_
_atom_site_label
_atom_site_type_symbol
_atom_site_fract_x
_atom_site_fract_y
_atom_site_fract_z
Al1 Al 0.2269 0.0000 0.0985
Br1 Br 0.2039 0.0000 0.6841
O1 O 0.1545 0.5000 0.9893
```

***

Question: Number 2 is which compound?
Answer: AlBrO

***

What did the second record say?
VASP calculation (PBE) on a relaxed structure of AlBrO.

## Properties
The magnetization comes out at 0.00 μB per atom. For the volume, the calculation gives 309 Å³ per cell. Its formation energy (no corrections) is -1.85 eV per atom. Its final energy is -63.67 eV/cell.

The structure in CIF format:
```
data_AlBrO
_cell_length_a 11.0664
_cell_length_b 3.1548
_cell_length_c 9.7924
_cell_angle_alpha 90.00
_cell_angle_beta 115.34
_cell_angle_gamma 90.00
_symmetry_space_group_name_H-M 'C 1 2/m 1'
_symmetry_Int_Tables_number 12
loop_
_symmetry_equiv_pos_as_xyz
'x,y,z'
'-x,-y,-z'
'-x,y,-z'
'x,-y,z'
'x+1/2,y+1/2,z'
'-x+1/2,-y+1/2,-z'
'-x+1/2,y+1/2,-z'
'x+1/2,-y+1/2,z'
loop_
_atom_site_label
_atom_site_type_symbol
_atom_site_fract_x
_atom_site_fract_y
_atom_site_fract_z
Al1 Al 0.2269 0.0000 0.0985
Br1 Br 0.2039 0.0000 0.6841
O1 O 0.1545 0.5000 0.9893
```

***

Question: magnetization of number 1 (LaMnCo2)?
Answer: 0.61 μB per atom